## a
Material: Nd3Er6Th
Method: DFT, PBE-GGA
State: optimized geometry

abc: 8.9674 8.9674 9.0713
angles: 90.00 90.00 116.51
Element x y z (fractional)
Nd: 0.0471 0.9529 0.5000
Nd: 0.1800 0.4737 0.0137
Nd: 0.4737 0.1800 0.5137
Nd: 0.5263 0.8200 0.0137
Nd: 0.8200 0.5263 0.5137
Nd: 0.9529 0.0471 0.0000
Er: 0.0319 0.3310 0.3518
Er: 0.2020 0.3271 0.6825
Er: 0.2143 0.7857 0.2452
Er: 0.3271 0.2020 0.1825
Er: 0.3310 0.0319 0.8518
Er: 0.4436 0.5564 0.3731
Er: 0.5564 0.4436 0.8731
Er: 0.6690 0.9681 0.3518
Er: 0.6729 0.7980 0.6825
Er: 0.7857 0.2143 0.7452
Er: 0.7980 0.6729 0.1825
Er: 0.9681 0.6690 0.8518
Th: 0.2747 0.7253 0.6034
Th: 0.7253 0.2747 0.1034

Summary:
Crystal system: orthorhombic
Total magnetization (μB/cell): 0.00


## b
Material: Nd3Er6Th
Method: DFT, PBE-GGA
State: optimized geometry

abc: 6.5976 6.5976 9.5139
angles: 110.34 110.34 59.85
Element x y z (fractional)
Nd: 0.0000 0.0000 0.0000
Nd: 0.0692 0.0692 0.6885
Nd: 0.9308 0.9308 0.3115
Er: 0.0653 0.5637 0.6868
Er: 0.3641 0.3641 0.0813
Er: 0.4363 0.9347 0.3132
Er: 0.5637 0.0653 0.6868
Er: 0.6359 0.6359 0.9187
Er: 0.9347 0.4363 0.3132
Th: 0.5000 0.5000 0.5000

Summary:
Crystal system: monoclinic
Total magnetization (μB/cell): 0.00


Preferred: a; penalty for the next structure: 68 meV/atom.


## a
Material: Nd3Er3Th2
Method: DFT, PBE-GGA
State: optimized geometry

abc: 10.8448 10.8448 10.8448
angles: 153.07 152.91 38.57
Element x y z (fractional)
Nd: 0.0000 0.0000 0.0000
Nd: 0.3719 0.8719 0.5000
Nd: 0.6281 0.1281 0.5000
Er: 0.1278 0.6278 0.5000
Er: 0.5000 0.5000 0.0000
Er: 0.8722 0.3722 0.5000
Th: 0.2495 0.2495 0.0000
Th: 0.7505 0.7505 0.0000

Summary:
Crystal system: orthorhombic
Total magnetization (μB/cell): 0.00


## b
Material: Nd3Er3Th2
Method: DFT, PBE-GGA
State: optimized geometry

abc: 6.2006 6.2240 8.0331
angles: 104.94 104.91 109.49
Element x y z (fractional)
Nd: 0.0000 0.0000 0.0000
Nd: 0.1308 0.6307 0.2620
Nd: 0.8692 0.3693 0.7380
Er: 0.3735 0.8735 0.7471
Er: 0.5000 0.5000 0.0000
Er: 0.6265 0.1265 0.2529
Th: 0.2531 0.2527 0.5060
Th: 0.7469 0.7473 0.4940

Summary:
Crystal system: triclinic
Total magnetization (μB/cell): 0.00


Preferred: a; penalty for the next structure: 9 meV/atom.


## a
Material: NdErTh4
Method: DFT, PBE-GGA
State: optimized geometry

abc: 8.0526 8.0526 5.0618
angles: 90.00 90.00 143.54
Element x y z (fractional)
Nd: 0.0000 0.0000 0.0000
Er: 0.5000 0.5000 0.5000
Th: 0.1692 0.8308 0.5000
Th: 0.3316 0.6684 0.0000
Th: 0.6684 0.3316 0.0000
Th: 0.8308 0.1692 0.5000

Summary:
Crystal system: orthorhombic
Total magnetization (μB/cell): 0.00


## b
Material: NdErTh4
Method: DFT, PBE-GGA
State: optimized geometry

abc: 6.6414 6.6414 6.6414
angles: 60.00 60.00 60.00
Element x y z (fractional)
Nd: 0.0000 0.0000 0.0000
Er: 0.7500 0.7500 0.7500
Th: 0.3753 0.3753 0.3753
Th: 0.3753 0.3753 0.8742
Th: 0.3753 0.8742 0.3753
Th: 0.8742 0.3753 0.3753

Summary:
Crystal system: cubic
Total magnetization (μB/cell): 0.00


Preferred: a; penalty for the next structure: 223 meV/atom.


## a
Material: NdEr3Th2
Method: DFT, PBE-GGA
State: optimized geometry

abc: 8.7103 3.6168 12.2346
angles: 90.00 90.31 90.00
Element x y z (fractional)
Nd: 0.1813 0.2500 0.2569
Nd: 0.8187 0.7500 0.7431
Er: 0.0963 0.2500 0.8928
Er: 0.3570 0.7500 0.4555
Er: 0.3975 0.7500 0.7482
Er: 0.6025 0.2500 0.2518
Er: 0.6430 0.2500 0.5445
Er: 0.9037 0.7500 0.1072
Th: 0.0975 0.2500 0.6022
Th: 0.3598 0.7500 0.0539
Th: 0.6402 0.2500 0.9461
Th: 0.9025 0.7500 0.3978

Summary:
Crystal system: monoclinic
Total magnetization (μB/cell): 0.00


## b
Material: NdEr3Th2
Method: DFT, PBE-GGA
State: optimized geometry

abc: 11.0898 11.0898 11.5917
angles: 121.44 121.44 18.61
Element x y z (fractional)
Nd: 0.1081 0.1081 0.2356
Nd: 0.8919 0.8919 0.7644
Er: 0.1113 0.1113 0.7309
Er: 0.2214 0.2214 0.5964
Er: 0.4464 0.4464 0.5694
Er: 0.5536 0.5536 0.4306
Er: 0.7786 0.7786 0.4036
Er: 0.8887 0.8887 0.2691
Th: 0.2207 0.2207 0.0941
Th: 0.4381 0.4381 0.0681
Th: 0.5619 0.5619 0.9319
Th: 0.7793 0.7793 0.9059

Summary:
Crystal system: monoclinic
Total magnetization (μB/cell): 0.00


Preferred: b; penalty for the next structure: 54 meV/atom.


## a
Material: Nd2Er6Th
Method: DFT, PBE-GGA
State: optimized geometry

abc: 9.7443 9.7443 3.4727
angles: 90.00 90.00 120.00
Element x y z (fractional)
Nd: 0.3333 0.6667 0.0000
Nd: 0.6667 0.3333 0.0000
Er: 0.0000 0.3308 0.5000
Er: 0.0000 0.6692 0.5000
Er: 0.3308 0.0000 0.5000
Er: 0.3308 0.3308 0.5000
Er: 0.6692 0.0000 0.5000
Er: 0.6692 0.6692 0.5000
Th: 0.0000 0.0000 0.0000

Summary:
Crystal system: hexagonal
Total magnetization (μB/cell): 0.00


## b
Material: Nd2Er6Th
Method: DFT, PBE-GGA
State: optimized geometry

abc: 8.8753 8.8753 8.9590
angles: 115.03 115.03 82.60
Element x y z (fractional)
Nd: 0.0976 0.2854 0.4264
Nd: 0.2854 0.0976 0.9264
Nd: 0.7146 0.9024 0.0736
Nd: 0.9024 0.7146 0.5736
Er: 0.1044 0.8425 0.0483
Er: 0.1128 0.4488 0.8585
Er: 0.1575 0.8956 0.4517
Er: 0.3130 0.4909 0.3122
Er: 0.4488 0.1128 0.3585
Er: 0.4909 0.3130 0.8122
Er: 0.5091 0.6870 0.1878
Er: 0.5512 0.8872 0.6415
Er: 0.6870 0.5091 0.6878
Er: 0.8425 0.1044 0.5483
Er: 0.8872 0.5512 0.1415
Er: 0.8956 0.1575 0.9517
Th: 0.3255 0.6745 0.7500
Th: 0.6745 0.3255 0.2500

Summary:
Crystal system: monoclinic
Total magnetization (μB/cell): 0.00


Preferred: a; penalty for the next structure: 31 meV/atom.


## a
Material: Nd2Er2Th
Method: DFT, PBE-GGA
State: optimized geometry

abc: 5.3769 3.5334 8.9749
angles: 90.00 107.38 90.00
Element x y z (fractional)
Nd: 0.1977 0.0000 0.3951
Nd: 0.8023 0.0000 0.6049
Er: 0.3980 0.5000 0.7964
Er: 0.6020 0.5000 0.2036
Th: 0.0000 0.0000 0.0000

Summary:
Crystal system: monoclinic
Total magnetization (μB/cell): 0.00


## b
Material: Nd2Er2Th
Method: DFT, PBE-GGA
State: optimized geometry

abc: 14.6895 14.6895 14.6895
angles: 14.08 14.08 14.08
Element x y z (fractional)
Nd: 0.2011 0.2011 0.2011
Nd: 0.7989 0.7989 0.7989
Er: 0.3973 0.3973 0.3973
Er: 0.6027 0.6027 0.6027
Th: 0.0000 0.0000 0.0000

Summary:
Crystal system: trigonal
Total magnetization (μB/cell): 0.00


Preferred: b; penalty for the next structure: 42 meV/atom.